(1)
A relaxed structure of Tc2AsI2. Source: Alexandria, functional PBE.

abc: 5.6110 5.6110 5.4032
angles: 58.72 58.72 90.00
Last column: magnetic moment on the atom in μB.
Positions (direct):
1 I 0.7500 0.2500 0.5000  -0.01
2 I 0.2500 0.7500 0.5000  -0.01
3 Tc 0.3448 0.3448 0.3105  0.32
4 Tc 0.6552 0.6552 0.6895  0.32
5 As 0.0000 0.0000 0.0000  -0.06

Formation energy without anion corrections in eV per atom: 0.901

=====

(2)
A relaxed structure of TeAs2I. Source: Alexandria, functional PBE.

abc: 7.6632 7.6632 6.9073
angles: 56.31 56.31 90.00
Positions (direct):
1 As 0.5999 0.1250 0.2500
2 As 0.1501 0.6250 0.2500
3 As 0.8750 0.8499 0.7500
4 As 0.3750 0.4001 0.7500
5 I 0.7500 0.2500 0.5000
6 I 0.0000 0.0000 0.0000
7 Te 0.2500 0.7500 0.5000
8 Te 0.5000 0.5000 0.0000

Formation energy without anion corrections in eV per atom: 0.412

=====

(3)
A relaxed structure of TeAsI2. Source: Alexandria, functional PBE.

abc: 5.4633 5.4633 5.4633
angles: 60.00 60.00 60.00
Positions (direct):
1 I 0.2500 0.2500 0.2500
2 I 0.7500 0.7500 0.7500
3 Te 0.5000 0.5000 0.5000
4 As 0.0000 0.0000 0.0000

Formation energy without anion corrections in eV per atom: 0.665

=====

(4)
A relaxed structure of Te2As2I. Source: Alexandria, functional PBE.

abc: 5.0539 5.0539 7.2482
angles: 69.60 69.60 90.00
Positions (direct):
1 As 0.2500 0.7500 0.5000
2 As 0.7500 0.2500 0.5000
3 Te 0.6531 0.6531 0.6937
4 Te 0.3469 0.3469 0.3063
5 I 0.0000 0.0000 0.0000

Formation energy without anion corrections in eV per atom: 0.148

=====

Listing total magnetic moment for the structures above in their given order: 0.6 0.0 0.0 0.0 μB per cell.
Listing Fermi-level density of states for the structures above in their given order: 1.14 1.00 0.92 0.60 states/eV per atom.